A plane-wave DFT calculation with GGA-PBE was carried out for crystalline IrOs4Ru3 at its relaxed geometry.

Calculated values
formation enthalpy at 0 K = 0.08 eV per atom
raw total energy = -0.3718 Ha/atom

Lattice parameters (Å, degrees): 9.394 5.441 4.710 90.00 109.33 90.00
Space group C2/m (No. 12)
Unique sites:
Ir: 0.000 0.000 0.000
Os: 0.000 0.252 0.500
Os: 0.249 0.500 0.499
Ru: 0.000 0.500 0.000
Ru: 0.250 0.250 0.000